No. 1
This record from OQMD describes an optimized crystal structure of CuGeW4C2. The functional is PBE.

a b c (Å): 3.112 3.112 12.690
angles (deg): 90.00 90.00 120.00
Atoms (fractional coordinates):
Cu (0.000, 0.000, 0.000)
Ge (0.333, 0.667, 0.500)
W (0.000, 0.000, 0.342)
W (0.000, 0.000, 0.658)
W (0.333, 0.667, 0.161)
W (0.333, 0.667, 0.839)
C (0.667, 0.333, 0.249)
C (0.667, 0.333, 0.751)

Calculated values
Its space group is P-6m2 (187). The raw total energy comes out at -9.594 eV/atom.


No. 2
This record from OQMD describes an optimized crystal structure of Y4CuGeC2. The functional is PBE.

a b c (Å): 3.635 3.635 14.269
angles (deg): 90.00 90.00 120.00
Atoms (fractional coordinates):
Y (0.000, 0.000, 0.152)
Y (0.000, 0.000, 0.848)
Y (0.333, 0.667, 0.341)
Y (0.333, 0.667, 0.659)
Cu (0.333, 0.667, 0.000)
Ge (0.000, 0.000, 0.500)
C (0.667, 0.333, 0.242)
C (0.667, 0.333, 0.758)

Calculated values
Its space group is P-6m2 (187). The raw total energy comes out at -6.912 eV/atom.


No. 3
This record from OQMD describes an optimized crystal structure of Zr4CuGeC2. The functional is PBE.

a b c (Å): 3.331 3.331 13.699
angles (deg): 90.00 90.00 120.00
Atoms (fractional coordinates):
Zr (0.000, 0.000, 0.153)
Zr (0.000, 0.000, 0.847)
Zr (0.667, 0.333, 0.342)
Zr (0.667, 0.333, 0.658)
Cu (0.667, 0.333, 0.000)
Ge (0.000, 0.000, 0.500)
C (0.333, 0.667, 0.249)
C (0.333, 0.667, 0.751)

Calculated values
Its space group is P-6m2 (187). The raw total energy comes out at -8.217 eV/atom.


No. 4
This record from OQMD describes an optimized crystal structure of CuH7C2IN. The functional is PBE.

a b c (Å): 10.475 10.475 18.017
angles (deg): 113.43 113.43 41.27
Atoms (fractional coordinates):
Cu (0.072, 0.829, 0.779)
Cu (0.171, 0.928, 0.721)
Cu (0.314, 0.580, 0.677)
Cu (0.420, 0.686, 0.823)
Cu (0.580, 0.314, 0.177)
Cu (0.686, 0.420, 0.323)
Cu (0.829, 0.072, 0.279)
Cu (0.928, 0.171, 0.221)
H (0.009, 0.728, 0.415)
H (0.018, 0.212, 0.089)
H (0.020, 0.902, 0.436)
H (0.080, 0.726, 0.301)
H (0.088, 0.369, 0.728)
H (0.098, 0.980, 0.064)
H (0.117, 0.314, 0.231)
H (0.146, 0.371, 0.029)
H (0.153, 0.401, 0.547)
H (0.162, 0.251, 0.806)
H (0.212, 0.018, 0.589)
H (0.220, 0.476, 0.965)
H (0.228, 0.555, 0.112)
H (0.251, 0.162, 0.306)
H (0.258, 0.476, 0.483)
H (0.269, 0.313, 0.131)
H (0.272, 0.991, 0.085)
H (0.274, 0.920, 0.199)
H (0.313, 0.269, 0.631)
H (0.314, 0.117, 0.731)
H (0.369, 0.088, 0.228)
H (0.371, 0.146, 0.529)
H (0.394, 0.492, 0.022)
H (0.401, 0.153, 0.047)
H (0.445, 0.772, 0.388)
H (0.476, 0.220, 0.465)
H (0.476, 0.258, 0.983)
H (0.492, 0.394, 0.522)
H (0.508, 0.606, 0.478)
H (0.524, 0.742, 0.017)
H (0.524, 0.780, 0.535)
H (0.555, 0.228, 0.612)
H (0.599, 0.847, 0.953)
H (0.606, 0.508, 0.978)
H (0.629, 0.854, 0.471)
H (0.631, 0.912, 0.772)
H (0.686, 0.883, 0.269)
H (0.687, 0.731, 0.369)
H (0.726, 0.080, 0.801)
H (0.728, 0.009, 0.915)
H (0.731, 0.687, 0.869)
H (0.742, 0.524, 0.517)
H (0.749, 0.838, 0.694)
H (0.772, 0.445, 0.888)
H (0.780, 0.524, 0.035)
H (0.788, 0.982, 0.411)
H (0.838, 0.749, 0.194)
H (0.847, 0.599, 0.453)
H (0.854, 0.629, 0.971)
H (0.883, 0.686, 0.769)
H (0.902, 0.020, 0.936)
H (0.912, 0.631, 0.272)
H (0.920, 0.274, 0.699)
H (0.980, 0.098, 0.564)
H (0.982, 0.788, 0.911)
H (0.991, 0.272, 0.585)
C (0.060, 0.138, 0.602)
C (0.138, 0.060, 0.102)
C (0.161, 0.230, 0.742)
C (0.230, 0.161, 0.242)
C (0.284, 0.307, 0.073)
C (0.307, 0.284, 0.573)
C (0.357, 0.410, 0.010)
C (0.410, 0.357, 0.510)
C (0.590, 0.643, 0.490)
C (0.643, 0.590, 0.990)
C (0.693, 0.716, 0.427)
C (0.716, 0.693, 0.927)
C (0.770, 0.839, 0.758)
C (0.839, 0.770, 0.258)
C (0.862, 0.940, 0.898)
C (0.940, 0.862, 0.398)
I (0.065, 0.124, 0.383)
I (0.124, 0.065, 0.883)
I (0.371, 0.457, 0.808)
I (0.457, 0.371, 0.308)
I (0.543, 0.629, 0.692)
I (0.629, 0.543, 0.192)
I (0.876, 0.935, 0.117)
I (0.935, 0.876, 0.617)
N (0.064, 0.165, 0.689)
N (0.165, 0.064, 0.189)
N (0.339, 0.410, 0.087)
N (0.410, 0.339, 0.587)
N (0.590, 0.661, 0.413)
N (0.661, 0.590, 0.913)
N (0.835, 0.936, 0.811)
N (0.936, 0.835, 0.311)

Calculated values
Its space group is C2/c (15). The raw total energy comes out at -4.837 eV/atom.